Compound: Nd3Dy4
Source: Alexandria
Functional: PBE
Structure: optimized geometry

Cell and atoms, written as POSCAR:
```
Nd3Dy4
1.0
5.6958 -2.5474 0.0000
5.6958 2.5474 0.0000
-1.1432 0.0000 7.9721
Nd Dy
3 4
Direct
0.0000 0.0000 0.0000
0.2863 0.2863 0.8542
0.7137 0.7137 0.1458
0.1423 0.1423 0.4297
0.4279 0.4279 0.2904
0.5721 0.5721 0.7096
0.8577 0.8577 0.5703
```

## Properties
The value obtained for the calculated formation energy is 0.13 eV/f.u. The calculation puts the total DFT energy (no corrections) at -4.65 eV/atom. As for the offset from the most stable computed form: 0 meV/atom.


Compound: ScTl2Pb
Source: Alexandria
Functional: PBE
Structure: optimized geometry

Cell and atoms, written as POSCAR:
```
ScTl2Pb
1.0
-2.2914 2.2914 5.0209
2.2914 -2.2914 5.0209
2.2914 2.2914 -5.0209
Sc Tl Pb
1 2 1
Direct
0.0000 0.0000 0.0000
0.2500 0.7500 0.5000
0.5000 0.5000 0.0000
0.7500 0.2500 0.5000
```

## Properties
The value obtained for the calculated formation energy is -0.31 eV/f.u. The calculation puts the total DFT energy (no corrections) at -3.77 eV/atom.


Compound: TaTlS2
Source: Alexandria
Functional: PBE
Structure: optimized geometry

Cell and atoms, written as POSCAR:
```
TaTlS2
1.0
5.0633 -5.0638 0.0000
5.0633 5.0638 0.0000
-2.0674 0.0000 16.4891
Ta Tl S
8 8 16
Direct
0.0560 0.7079 0.8284
0.2921 0.4071 0.6716
0.2921 0.9440 0.6716
0.4071 0.2921 0.1716
0.5929 0.7079 0.8284
0.7079 0.0560 0.3284
0.7079 0.5929 0.3284
0.9440 0.2921 0.1716
0.1633 0.7707 0.0876
0.2108 0.3339 0.3700
0.2293 0.8367 0.4124
0.3339 0.2108 0.8700
0.6661 0.7892 0.1300
0.7707 0.1633 0.5876
0.7892 0.6661 0.6300
0.8367 0.2293 0.9124
0.0362 0.9638 0.7500
0.0375 0.4190 0.7507
0.1541 0.2702 0.0676
0.2702 0.1541 0.5676
0.2741 0.6576 0.5859
0.3424 0.7259 0.9141
0.4190 0.0375 0.2507
0.4199 0.5801 0.2500
0.5801 0.4199 0.7500
0.5810 0.9625 0.7493
0.6576 0.2741 0.0859
0.7259 0.3424 0.4141
0.7298 0.8459 0.4324
0.8459 0.7298 0.9324
0.9625 0.5810 0.2493
0.9638 0.0362 0.2500
```

## Properties
Its formation energy without anion corrections is -0.493 eV per atom. The calculation puts the total DFT energy (no corrections) at -6.11 eV/atom.